[1]
# Ti2InOs2 PBE optimized geometry
data_Ti2InOs2
_chemical_formula_sum 'Ti4 In2 Os4'
_space_group_name_H-M_alt 'P 4/m b m'
_space_group_IT_number 127
_space_group_name_Hall '-P 4 2ab'
_cell_length_a 7.4560
_cell_length_b 7.4560
_cell_length_c 3.0326
_cell_angle_alpha 90.00
_cell_angle_beta 90.00
_cell_angle_gamma 90.00
loop_
_atom_site_label
_atom_site_type_symbol
_atom_site_fract_x
_atom_site_fract_y
_atom_site_fract_z
Ti1 Ti 0.1512 0.3488 0.0000
In1 In 0.0000 0.0000 0.5000
Os1 Os 0.1416 0.6416 0.5000
# **ΔH_f (0 K)**: -0.169 eV/atom
# **Total moment**: 0.0000 μB per atom

---

[2]
# Ti3InOs PBE optimized geometry
data_Ti3InOs
_chemical_formula_sum 'Ti3 In1 Os1'
_space_group_name_H-M_alt 'P m -3 m'
_space_group_IT_number 221
_space_group_name_Hall '-P 4 2 3'
_cell_length_a 4.7621
_cell_length_b 4.7621
_cell_length_c 4.7621
_cell_angle_alpha 90.00
_cell_angle_beta 90.00
_cell_angle_gamma 90.00
loop_
_atom_site_label
_atom_site_type_symbol
_atom_site_fract_x
_atom_site_fract_y
_atom_site_fract_z
Ti1 Ti 0.0000 0.0000 0.5000
In1 In 0.5000 0.5000 0.5000
Os1 Os 0.0000 0.0000 0.0000
# **ΔH_f (0 K)**: 0.319 eV/atom
# **Total moment**: 0.1520 μB per atom